# SmTlPdPb (PBE, relaxed)
data_SmTlPdPb
_cell_length_a 7.3360
_cell_length_b 7.3360
_cell_length_c 7.3360
_cell_angle_alpha 90.00
_cell_angle_beta 90.00
_cell_angle_gamma 90.00
_space_group_name_H-M_alt 'P 1'
_space_group_IT_number 1
loop_
_space_group_symop_operation_xyz
'x,y,z'
loop_
_atom_site_label
_atom_site_fract_x
_atom_site_fract_y
_atom_site_fract_z
Sm1 0.0000 0.0000 0.0000
Sm2 0.0000 0.5000 0.5000
Sm3 0.5000 0.0000 0.5000
Sm4 0.5000 0.5000 0.0000
Tl1 0.2500 0.2500 0.2500
Tl2 0.2500 0.7500 0.7500
Tl3 0.7500 0.2500 0.7500
Tl4 0.7500 0.7500 0.2500
Pd1 0.2500 0.2500 0.7500
Pd2 0.2500 0.7500 0.2500
Pd3 0.7500 0.2500 0.2500
Pd4 0.7500 0.7500 0.7500
Pb1 0.0000 0.0000 0.5000
Pb2 0.0000 0.5000 0.0000
Pb3 0.5000 0.0000 0.0000
Pb4 0.5000 0.5000 0.5000
# Magnetization: 0.000 μB/atom
# Formation enthalpy at 0 K: -0.3693 eV per atom
# Total energy: -4.37 eV per atom
# N(E_F): 0.21 states/eV/atom


# Y2AlIr (PBE, relaxed)
data_Y2AlIr
_cell_length_a 4.2466
_cell_length_b 4.2466
_cell_length_c 9.4969
_cell_angle_alpha 90.00
_cell_angle_beta 90.00
_cell_angle_gamma 90.00
_space_group_name_H-M_alt 'P 1'
_space_group_IT_number 1
loop_
_space_group_symop_operation_xyz
'x,y,z'
loop_
_atom_site_label
_atom_site_fract_x
_atom_site_fract_y
_atom_site_fract_z
Y1 0.0000 0.0000 0.0000
Y2 0.0000 0.5000 0.2500
Y3 0.5000 0.0000 0.7500
Y4 0.5000 0.5000 0.5000
Al1 0.0000 0.5000 0.7500
Al2 0.5000 0.0000 0.2500
Ir1 0.0000 0.0000 0.5000
Ir2 0.5000 0.5000 0.0000
# Magnetization: 0.000 μB/atom
# Formation enthalpy at 0 K: -0.3926 eV per atom
# Total energy: -6.78 eV per atom
# N(E_F): 0.88 states/eV/atom


# Rb3TlCu2Br6 (PBE, relaxed)
data_Rb3TlCu2Br6
_cell_length_a 8.3016
_cell_length_b 8.3016
_cell_length_c 9.0949
_cell_angle_alpha 90.00
_cell_angle_beta 90.00
_cell_angle_gamma 120.00
_space_group_name_H-M_alt 'P 1'
_space_group_IT_number 1
loop_
_space_group_symop_operation_xyz
'x,y,z'
loop_
_atom_site_label
_atom_site_fract_x
_atom_site_fract_y
_atom_site_fract_z
Rb1 0.0000 0.0000 0.0000
Rb2 0.3333 0.6667 0.6507
Rb3 0.6667 0.3333 0.3493
Tl1 0.0000 0.0000 0.5000
Cu1 0.3333 0.6667 0.2549
Cu2 0.6667 0.3333 0.7451
Br1 0.1702 0.3404 0.2692
Br2 0.1702 0.8298 0.2692
Br3 0.3404 0.1702 0.7308
Br4 0.6596 0.8298 0.2692
Br5 0.8298 0.1702 0.7308
Br6 0.8298 0.6596 0.7308
# Magnetization: 0.003 μB/atom
# Raw formation energy: -1.03 eV per atom
# Total energy: -2.99 eV per atom
# N(E_F): 0.00 states/eV/atom


# IrAuBr2 (PBE, relaxed)
data_IrAuBr2
_cell_length_a 6.8665
_cell_length_b 6.8665
_cell_length_c 6.8665
_cell_angle_alpha 90.00
_cell_angle_beta 90.00
_cell_angle_gamma 90.00
_space_group_name_H-M_alt 'P 1'
_space_group_IT_number 1
loop_
_space_group_symop_operation_xyz
'x,y,z'
loop_
_atom_site_label
_atom_site_fract_x
_atom_site_fract_y
_atom_site_fract_z
Ir1 0.0000 0.0000 0.0000
Ir2 0.0000 0.5000 0.5000
Ir3 0.5000 0.0000 0.5000
Ir4 0.5000 0.5000 0.0000
Au1 0.2500 0.2500 0.2500
Au2 0.2500 0.7500 0.7500
Au3 0.7500 0.2500 0.7500
Au4 0.7500 0.7500 0.2500
Br1 0.0000 0.0000 0.5000
Br2 0.0000 0.5000 0.0000
Br3 0.2500 0.2500 0.7500
Br4 0.2500 0.7500 0.2500
Br5 0.5000 0.0000 0.0000
Br6 0.5000 0.5000 0.5000
Br7 0.7500 0.2500 0.2500
Br8 0.7500 0.7500 0.7500
# Magnetization: 0.359 μB/atom
# Raw formation energy: 1.17 eV per atom
# Total energy: -2.70 eV per atom
# N(E_F): 1.44 states/eV/atom
# Energy relative to the lowest polymorph listed for this composition: 1057 meV per atom